The following is a PBE calculation of a relaxed structure of K2CeTc3O12, from the Alexandria database.

The space group is R-3m (No. 166, hexagonal axes) and the conventional cell measures 7.3729, 7.3729 and 18.6751 Å, with angles of 90.00, 90.00 and 120.00 degrees. The asymmetric unit holds K at (0.0000, 0.0000, 0.1433), Ce at (0.0000, 0.0000, 0.5000), Tc at (0.0000, 0.5000, 0.0000), O at (0.0362, 0.5181, 0.1014) and O at (0.0881, 0.5440, 0.3421).

As for the uncorrected energy: -389.147 eV/cell.

---

The following is a PBE calculation of a relaxed structure of NaTl8Pb6, from the Alexandria database.

The space group is R-3 (No. 148, hexagonal axes) and the conventional cell measures 9.2167, 9.2167 and 20.0795 Å, with angles of 90.00, 90.00 and 120.00 degrees. The asymmetric unit holds Na at (0.0000, 0.0000, 0.0000), Tl at (0.0000, 0.0000, 0.2319), Tl at (0.0087, 0.3097, 0.1343) and Pb at (0.0163, 0.2332, 0.6348).

As for the formation energy: 0.644 eV/f.u. As for the uncorrected energy: -125.565 eV/cell. The calculation puts the relative energy among the computed polymorphs at 0.000 eV per atom.

---

The following is a PBE calculation of a relaxed structure of Nd2SmHo, from the Alexandria database.

The space group is Amm2 (No. 38) and the conventional cell measures 5.6574, 3.5790 and 13.3846 Å, with angles of 90.00, 90.00 and 90.00 degrees. The asymmetric unit holds Nd at (0.0000, 0.0000, 0.0000), Nd at (0.5000, 0.0000, 0.1254), Sm at (0.5000, 0.0000, 0.3809) and Ho at (0.0000, 0.0000, 0.7406).

As for the formation energy: 0.217 eV/f.u. As for the uncorrected energy: -37.232 eV/cell. The calculation puts the relative energy among the computed polymorphs at 0.041 eV per atom.

---

The following is a PBE calculation of a relaxed structure of PPtS3, from the Alexandria database.

The space group is Pm-3m (No. 221) and the conventional cell measures 4.4198, 4.4198 and 4.4198 Å, with angles of 90.00, 90.00 and 90.00 degrees. The asymmetric unit holds P at (0.0000, 0.0000, 0.0000), Pt at (0.5000, 0.5000, 0.5000) and S at (0.0000, 0.0000, 0.5000).

As for the uncorrected energy: -19.298 eV/cell. The calculation puts the relative energy among the computed polymorphs at 0.000 eV per atom.

---

The following is a PBE calculation of a relaxed structure of CdPt3Pb, from the Alexandria database.

The space group is Pm-3m (No. 221) and the conventional cell measures 4.9983, 4.9983 and 4.9983 Å, with angles of 90.00, 90.00 and 90.00 degrees. The asymmetric unit holds Cd at (0.0000, 0.0000, 0.0000), Pt at (0.0000, 0.0000, 0.5000) and Pb at (0.5000, 0.5000, 0.5000).

As for the formation energy: 4.439 eV/f.u. As for the uncorrected energy: -18.307 eV/cell. The calculation puts the relative energy among the computed polymorphs at 0.000 eV per atom.

---

The following is a PBE calculation of a relaxed structure of SrCeH6Pt2, from the Alexandria database.

The space group is C2/c (No. 15) and the conventional cell measures 8.6699, 9.4939 and 7.6166 Å, with angles of 90.00, 124.64 and 90.00 degrees. The asymmetric unit holds Sr at (0.0000, 0.1004, 0.2500), Ce at (0.0000, 0.3691, 0.7500), H at (0.0288, 0.3933, 0.4310), H at (0.1646, 0.2077, 0.0792), H at (0.2086, 0.0003, 0.1307) and Pt at (0.2118, 0.3567, 0.2154).

As for the uncorrected energy: -178.098 eV/cell.

---

The following is a PBE calculation of a relaxed structure of Tl2ZnCu, from the Alexandria database.

The space group is Imm2 (No. 44) and the conventional cell measures 3.2415, 4.6242 and 12.0733 Å, with angles of 90.00, 90.00 and 90.00 degrees. The asymmetric unit holds Tl at (0.0000, 0.0000, 0.0000), Tl at (0.0000, 0.5000, 0.2078), Zn at (0.0000, 0.5000, 0.8094) and Cu at (0.0000, 0.0000, 0.4719).

As for the formation energy: 0.843 eV/f.u. As for the uncorrected energy: -18.519 eV/cell. The calculation puts the relative energy among the computed polymorphs at 0.071 eV per atom.

---

The following is a PBE calculation of a relaxed structure of Nd4SmDy3, from the Alexandria database.

The space group is Pmn2_1 (No. 31) and the conventional cell measures 11.6674, 7.3458 and 6.3388 Å, with angles of 90.00, 90.00 and 90.00 degrees. The asymmetric unit holds Nd at (0.0000, 0.1283, 0.0000), Nd at (0.0000, 0.8721, 0.4942), Nd at (0.2476, 0.8734, 0.8316), Sm at (0.0000, 0.3761, 0.4988), Dy at (0.0000, 0.6212, 0.9973) and Dy at (0.2502, 0.3782, 0.8305).

As for the formation energy: 0.233 eV/f.u. As for the uncorrected energy: -74.727 eV/cell. The calculation puts the relative energy among the computed polymorphs at 0.012 eV per atom.